Entry 1:
YUIr: optimized geometry, GGA-PBE.

Its calculated formation energy is -126 meV per atom.

It has space group F-43m (No. 216), with a = 6.7152 Å, b = 6.7152 Å, c = 6.7152 Å, α = 90.00°, β = 90.00° and γ = 90.00°. Symmetry generates all atoms from Y at (0.0000, 0.0000, 0.0000), U at (0.0000, 0.0000, 0.5000) and Ir at (0.2500, 0.2500, 0.2500).

Entry 2:
Nd2Sm2CBr3Cl2: optimized geometry, GGA-PBE.

It has space group C2/m (No. 12), with a = 17.6637 Å, b = 3.9265 Å, c = 8.4226 Å, α = 90.00°, β = 103.43° and γ = 90.00°. Symmetry generates all atoms from Nd at (0.0030, 0.0000, 0.2951), Sm at (0.1440, 0.5000, 0.5771), C at (0.0000, 0.5000, 0.5000), Br at (0.0000, 0.5000, 0.0000), Br at (0.1696, 0.0000, 0.8402) and Cl at (0.1729, 0.0000, 0.3551).

Entry 3:
KGePd: optimized geometry, GGA-PBE.

It has space group F-43m (No. 216), with a = 6.7274 Å, b = 6.7274 Å, c = 6.7274 Å, α = 90.00°, β = 90.00° and γ = 90.00°. Symmetry generates all atoms from K at (0.0000, 0.0000, 0.0000), Ge at (0.0000, 0.0000, 0.5000) and Pd at (0.2500, 0.2500, 0.7500).

In order of appearance, density = 11.4, 5.3, 4.8 Mg/m³.
In order of appearance, energy relative to the lowest polymorph listed for this composition = 0, 1, 0 kJ/mol of formula units.